#P
# YHfAs2Br

YHfAs2Br after structural relaxation (PBE, the Alexandria database).

Crystal system: tetragonal
Total moment in Bohr magnetons per cell: 0.8
Space group: P4/mmm, No. 123

The structure in POSCAR format:
```
YHfAs2Br
1.0
5.4197 0.0000 0.0000
0.0000 5.4197 0.0000
0.0000 0.0000 5.1952
Y Hf As Br
1 1 2 1
Cartesian
0.0000 0.0000 0.0000
2.7099 2.7099 2.5976
0.0000 2.7099 0.0000
2.7099 0.0000 0.0000
0.0000 0.0000 2.5976
```

#Q
# YHfAs2Br

YHfAs2Br after structural relaxation (PBE, the Alexandria database).

Crystal system: tetragonal
Total moment in Bohr magnetons per cell: 0.0
Space group: P4/mmm, No. 123

The structure in POSCAR format:
```
YHfAs2Br
1.0
5.1979 0.0000 0.0000
0.0000 5.1979 0.0000
0.0000 0.0000 5.0263
Y Hf As Br
1 1 2 1
Cartesian
0.0000 0.0000 0.0000
2.5990 2.5990 2.5132
0.0000 2.5990 2.5132
2.5990 0.0000 2.5132
2.5990 2.5990 0.0000
```

Looking at the structures above, #Q is most stable, and the difference to the next one is 75.1 kJ/mol of atoms.